[1]
A plane-wave DFT calculation with PBE-GGA was carried out for a relaxed BaTcRh crystal.

Lattice parameters (Å, degrees): 7.878 4.390 8.725 90.00 90.00 90.00
Sites, in units of the cell vectors:
1 Rh 0.158 0.250 0.434
2 Rh 0.342 0.750 0.934
3 Rh 0.842 0.750 0.566
4 Rh 0.658 0.250 0.066
5 Ba 0.006 0.250 0.817
6 Ba 0.494 0.750 0.317
7 Ba 0.994 0.750 0.183
8 Ba 0.506 0.250 0.683
9 Tc 0.851 0.250 0.434
10 Tc 0.649 0.750 0.934
11 Tc 0.149 0.750 0.566
12 Tc 0.351 0.250 0.066

## Properties
Calculated formation energy ... 0.36 eV/atom
E ... -6.187 eV/atom
Excess energy over the best structure of this formula in the dataset ... 302 meV/atom
D(E_F) ... 2.489 states/eV/f.u.

***

[2]
A plane-wave DFT calculation with PBE-GGA was carried out for a relaxed NaY2Se crystal.

Lattice parameters (Å, degrees): 3.810 3.810 10.774 79.82 79.82 60.00
Sites, in units of the cell vectors:
1 Y 0.111 0.111 0.666
2 Y 0.889 0.889 0.334
3 Na 0.000 0.000 0.000
4 Se 0.500 0.500 0.500

## Properties
Formation energy (no corrections) ... -0.61 eV per atom
E ... -5.039 eV/atom
D(E_F) ... 4.191 states/eV/f.u.